# BaY2CuSe4

An optimized crystal structure of BaY2CuSe4 (PBE-GGA, Alexandria).

## Properties
Formation energy (no corrections) (kJ/mol of formula units): -1238

a = 7.281 Å, b = 7.281 Å, c = 14.293 Å
α = 90.00°, β = 90.00°, γ = 146.64°
Fractional coordinates of all 16 atoms:
Ba (0.117, 0.883, 0.750)
Ba (0.883, 0.117, 0.250)
Y (0.372, 0.628, 0.558)
Y (0.372, 0.628, 0.942)
Y (0.628, 0.372, 0.058)
Y (0.628, 0.372, 0.442)
Cu (0.154, 0.846, 0.250)
Cu (0.846, 0.154, 0.750)
Se (0.000, 0.000, 0.000)
Se (0.000, 0.000, 0.500)
Se (0.266, 0.734, 0.115)
Se (0.266, 0.734, 0.385)
Se (0.438, 0.562, 0.750)
Se (0.562, 0.438, 0.250)
Se (0.734, 0.266, 0.615)
Se (0.734, 0.266, 0.885)

# Tb4PrNd5

An optimized crystal structure of Tb4PrNd5 (PBE-GGA, Alexandria).

## Properties
Calculated formation energy (eV per atom): 0.013
Offset from the most stable computed form (meV per atom): 0

a = 3.641 Å, b = 9.602 Å, c = 10.283 Å
α = 74.12°, β = 89.96°, γ = 79.13°
Fractional coordinates of all 10 atoms:
Tb (0.101, 0.298, 0.299)
Tb (0.300, 0.900, 0.900)
Tb (0.700, 0.100, 0.100)
Tb (0.899, 0.702, 0.701)
Pr (0.500, 0.500, 0.000)
Nd (0.101, 0.298, 0.802)
Nd (0.300, 0.901, 0.400)
Nd (0.500, 0.500, 0.500)
Nd (0.700, 0.099, 0.600)
Nd (0.899, 0.702, 0.198)

# BaTl2Ru

An optimized crystal structure of BaTl2Ru (PBE-GGA, Alexandria).

## Properties
Calculated formation energy (eV per atom): 0.411

a = 5.339 Å, b = 5.339 Å, c = 5.339 Å
α = 60.00°, β = 60.00°, γ = 60.00°
Fractional coordinates of all 4 atoms:
Ba (0.000, 0.000, 0.000)
Tl (0.250, 0.250, 0.250)
Tl (0.750, 0.750, 0.750)
Ru (0.500, 0.500, 0.500)

# ZrPdRh

An optimized crystal structure of ZrPdRh (PBE-GGA, Alexandria).

## Properties
Calculated formation energy (eV per atom): -0.506
Offset from the most stable computed form (meV per atom): 277

a = 4.484 Å, b = 4.484 Å, c = 2.942 Å
α = 90.00°, β = 90.00°, γ = 120.00°
Fractional coordinates of all 3 atoms:
Zr (0.000, 0.000, 0.000)
Pd (0.333, 0.667, 0.691)
Rh (0.667, 0.333, 0.289)

# GdNpGe4

An optimized crystal structure of GdNpGe4 (PBE-GGA, Alexandria).

## Properties
Calculated formation energy (eV per atom): -0.161

a = 5.589 Å, b = 5.589 Å, c = 5.589 Å
α = 60.00°, β = 60.00°, γ = 60.00°
Fractional coordinates of all 6 atoms:
Gd (0.000, 0.000, 0.000)
Np (0.250, 0.250, 0.250)
Ge (0.126, 0.625, 0.625)
Ge (0.625, 0.126, 0.625)
Ge (0.625, 0.625, 0.126)
Ge (0.625, 0.625, 0.625)

# AcTbHoEr

An optimized crystal structure of AcTbHoEr (PBE-GGA, Alexandria).

## Properties
Calculated formation energy (eV per atom): 0.070
Offset from the most stable computed form (meV per atom): 0

a = 11.961 Å, b = 11.961 Å, c = 11.961 Å
α = 17.65°, β = 17.65°, γ = 17.65°
Fractional coordinates of all 4 atoms:
Ac (0.000, 0.000, 0.000)
Tb (0.246, 0.246, 0.246)
Ho (0.421, 0.421, 0.421)
Er (0.833, 0.833, 0.833)

# MgMnBe2

An optimized crystal structure of MgMnBe2 (PBE-GGA, Alexandria).

## Properties
Calculated formation energy (eV per atom): 0.397

a = 8.327 Å, b = 8.327 Å, c = 8.327 Å
α = 18.09°, β = 18.09°, γ = 18.09°
Fractional coordinates of all 4 atoms:
Mg (0.000, 0.000, 0.000)
Mn (0.500, 0.500, 0.500)
Be (0.239, 0.239, 0.239)
Be (0.761, 0.761, 0.761)

# Na6CuF8

An optimized crystal structure of Na6CuF8 (PBE-GGA, Alexandria).

## Properties
Formation energy (no corrections) (kJ/mol of formula units): -3609

a = 6.588 Å, b = 6.588 Å, c = 6.588 Å
α = 60.00°, β = 60.00°, γ = 60.00°
Fractional coordinates of all 15 atoms:
Na (0.000, 0.000, 0.500)
Na (0.000, 0.500, 0.000)
Na (0.000, 0.500, 0.500)
Na (0.500, 0.000, 0.000)
Na (0.500, 0.000, 0.500)
Na (0.500, 0.500, 0.000)
Cu (0.000, 0.000, 0.000)
F (0.222, 0.222, 0.778)
F (0.222, 0.778, 0.222)
F (0.222, 0.778, 0.778)
F (0.250, 0.250, 0.250)
F (0.750, 0.750, 0.750)
F (0.778, 0.222, 0.222)
F (0.778, 0.222, 0.778)
F (0.778, 0.778, 0.222)

Repeat the seventh record exactly.
# MgMnBe2

An optimized crystal structure of MgMnBe2 (PBE-GGA, Alexandria).

## Properties
Calculated formation energy (eV per atom): 0.397

a = 8.327 Å, b = 8.327 Å, c = 8.327 Å
α = 18.09°, β = 18.09°, γ = 18.09°
Fractional coordinates of all 4 atoms:
Mg (0.000, 0.000, 0.000)
Mn (0.500, 0.500, 0.500)
Be (0.239, 0.239, 0.239)
Be (0.761, 0.761, 0.761)